# VS3O9 (GGA+U, optimized geometry)
data_VS3O9
_cell_length_a 6.705
_cell_length_b 7.648
_cell_length_c 9.131
_cell_angle_alpha 72.89
_cell_angle_beta 68.37
_cell_angle_gamma 63.77
_symmetry_space_group_name_H-M 'P 1'
_symmetry_Int_Tables_number 1
_symmetry_space_group_name_Hall 'P 1'
loop_
_atom_site_label
_atom_site_type_symbol
_atom_site_fract_x
_atom_site_fract_y
_atom_site_fract_z
_atom_site_occupancy
O1 O 0.115 0.026 0.631 1
O2 O 0.056 0.579 0.413 1
O3 O 0.836 0.527 0.853 1
S1 S 0.497 0.727 0.234 1
V1 V 0.044 0.497 0.997 1
O4 O 0.789 0.027 0.354 1
O5 O 0.432 0.179 0.646 1
V2 V 0.464 0.995 0.498 1
O6 O 0.226 0.526 0.132 1
O7 O 0.620 0.755 0.661 1
O8 O 0.950 0.080 0.912 1
S2 S 0.244 0.467 0.297 1
O9 O 0.730 0.006 0.783 1
O10 O 0.739 0.682 0.143 1
O11 O 0.328 0.252 0.338 1
S3 S 0.975 0.101 0.301 1
O12 O 0.964 0.256 0.161 1
S4 S 0.541 0.226 0.733 1
O13 O 0.448 0.788 0.385 1
O14 O 0.380 0.290 0.884 1
S5 S 0.992 0.968 0.796 1
O15 O 0.332 0.854 0.143 1
O16 O 0.084 0.752 0.838 1
O17 O 0.670 0.351 0.637 1
O18 O 0.479 0.507 0.283 1
S6 S 0.628 0.598 0.800 1
# Calculated volume ... 14.8 A^3/atom
# Crystal system ... triclinic
# Raw total energy ... -0.460 Ry per atom